Material: Tl2InCl
Method: DFT, PBE
State: relaxed

```
4
Lattice="5.986 -1.891 0.000 5.986 1.891 0.000 -0.059 0.000 5.286" Properties=species:S:1:pos:R:3 pbc="T T T"
Tl 0.000 0.000 0.000
Tl 8.862 0.000 2.619
In 3.153 0.000 5.265
Cl 5.832 0.000 2.643
```

- Space group: Cm, No. 8
- Distance to the lowest polymorph of the same formula: 0.01 eV/f.u.
- Crystal system: monoclinic